## CsVF3 (GGA+U)

Data for CsVF3 after structural relaxation.

a = 3.5443 Å, b = 5.1597 Å, c = 12.2759 Å
α = 84.46°, β = 83.03°, γ = 71.14°
With the nearest neighbours (Å) after each atom.
Element x y z (fractional)
Cs (0.0000, 0.0000, 0.0000)  4 F 2.79-3.04
Cs (0.0012, 0.3060, 0.6598)  4 F 2.79-3.04
V (0.3392, 0.9089, 0.3961)  4 F 1.98-2.16
V (0.6611, 0.3988, 0.2645)  4 F 1.98-2.16
F (0.0038, 0.6526, 0.3301)  4 V 2.30-2.38
F (0.2859, 0.1545, 0.2425)  3 V 2.16
F (0.3512, 0.7412, 0.5486)  1 V 1.98
F (0.4986, 0.1573, 0.8303)  4 Cs 2.79-2.80
F (0.6482, 0.5667, 0.1120)  1 V 1.98
F (0.7153, 0.1527, 0.4181)  3 V 2.16

Summary:
As for the space-group type: P1 (1). The calculation puts the calculated density at 3.80 Mg/m³. The total energy comes out at -5.3255 eV per atom. The density of states at the Fermi level is 0.00 states/eV/f.u.